No. 1
This record from Alexandria via LeMat-Bulk describes a geometry-optimized LaYMg6 structure. The functional is PBE.

Lattice parameters (Å, degrees): 6.8020 6.8020 5.2345 90.00 90.00 120.00
Sites, in units of the cell vectors:
La (0.0000, 0.0000, 0.0000)
Y (0.3333, 0.6667, 0.5000)
Mg (0.3468, 0.1734, 0.5000)
Mg (0.5024, 0.0048, 0.0000)
Mg (0.5024, 0.4976, 0.0000)
Mg (0.8266, 0.1734, 0.5000)
Mg (0.8266, 0.6532, 0.5000)
Mg (0.9952, 0.4976, 0.0000)

Values from the calculation:
- Calculated formation energy: -0.088 eV per atom
- Space-group type: No. 187
- Total DFT energy (no corrections): -2.708 eV per atom
- DOS(E_F): 1.040 states/eV/atom

No. 2
This record from Alexandria via LeMat-Bulk describes a geometry-optimized TcAuI3 structure. The functional is PBE.

Lattice parameters (Å, degrees): 5.6547 5.6547 5.6547 90.00 90.00 90.00
Sites, in units of the cell vectors:
Tc (0.0000, 0.0000, 0.0000)
Au (0.5000, 0.5000, 0.5000)
I (0.0000, 0.5000, 0.5000)
I (0.5000, 0.0000, 0.5000)
I (0.5000, 0.5000, 0.0000)

Values from the calculation:
- Space-group type: No. 221
- Total DFT energy (no corrections): -2.698 eV per atom
- DOS(E_F): 1.575 states/eV/atom
- Energy relative to the elements, uncorrected: 961 meV per atom

No. 3
This record from Alexandria via LeMat-Bulk describes a geometry-optimized Pu2P3Rh5 structure. The functional is PBE.

Lattice parameters (Å, degrees): 13.0435 13.0435 6.3889 90.00 90.00 162.51
Sites, in units of the cell vectors:
Pu (0.0173, 0.9827, 0.5000)
Pu (0.3223, 0.6777, 0.5419)
Pu (0.6777, 0.3223, 0.0419)
Pu (0.9827, 0.0173, 0.0000)
P (0.1095, 0.8905, 0.2687)
P (0.2878, 0.7122, 0.1025)
P (0.4474, 0.5526, 0.2895)
P (0.5526, 0.4474, 0.7895)
P (0.7122, 0.2878, 0.6025)
P (0.8905, 0.1095, 0.7687)
Rh (0.0982, 0.9018, 0.8756)
Rh (0.1918, 0.8082, 0.4096)
Rh (0.2352, 0.7648, 0.7970)
Rh (0.3796, 0.6204, 0.0457)
Rh (0.4353, 0.5647, 0.6596)
Rh (0.5647, 0.4353, 0.1596)
Rh (0.6204, 0.3796, 0.5457)
Rh (0.7648, 0.2352, 0.2970)
Rh (0.8082, 0.1918, 0.9096)
Rh (0.9018, 0.0982, 0.3756)

Values from the calculation:
- Calculated formation energy: -0.765 eV per atom
- Space-group type: No. 36
- Total DFT energy (no corrections): -8.930 eV per atom
- DOS(E_F): 2.098 states/eV/atom

No. 4
This record from Alexandria via LeMat-Bulk describes a geometry-optimized PmNpGeAu structure. The functional is PBE.

Lattice parameters (Å, degrees): 5.1567 5.1567 5.1567 60.00 60.00 60.00
Sites, in units of the cell vectors:
Pm (0.0000, 0.0000, 0.0000)
Np (0.5000, 0.5000, 0.5000)
Ge (0.2500, 0.2500, 0.2500)
Au (0.7500, 0.7500, 0.7500)

Values from the calculation:
- Calculated formation energy: -0.346 eV per atom
- Space-group type: No. 216
- Total DFT energy (no corrections): -6.742 eV per atom
- DOS(E_F): 1.294 states/eV/atom